# 1
## Na3Er3HfO8 (PBE)

Data for Na3Er3HfO8 after structural relaxation.

Cell lengths 6.708, 6.708, 6.797 Å; angles 119.58, 90.00, 120.00 degrees
Element x y z (fractional)
Na1 0.000 0.000 0.000
Na2 0.000 0.500 0.000
Na3 0.500 0.500 0.000
Er1 0.500 0.000 0.500
Er2 0.500 0.500 0.500
Er3 0.000 0.500 0.500
Hf1 0.000 0.000 0.500
O1 0.264 0.529 0.293
O2 0.736 0.471 0.707
O3 0.779 0.559 0.304
O4 0.221 0.441 0.696
O5 0.779 0.025 0.304
O6 0.221 0.975 0.696
O7 0.245 0.025 0.304
O8 0.755 0.975 0.696

Calculated values
* total magnetic moment: 0.0 μB/f.u.
* V: 14.51 A^3/atom
* formation energy without anion corrections: -2.979 eV per atom
* final energy: -111.954 eV for the cell shown

---

# 2
## Ga2SiBiF (PBE)

Data for Ga2SiBiF after structural relaxation.

Cell lengths 4.786, 5.526, 4.786 Å; angles 90.00, 90.00, 90.00 degrees
Element x y z (fractional)
Si1 0.000 0.000 0.000
Bi1 0.000 0.500 0.000
Ga1 0.000 0.000 0.500
Ga2 0.500 0.000 0.000
F1 0.500 0.500 0.500

Calculated values
* total magnetic moment: 0.0 μB/f.u.
* V: 25.32 A^3/atom
* formation energy without anion corrections: 0.101 eV per atom
* final energy: -16.725 eV for the cell shown

---

# 3
## Ti2SeS (PBE)

Data for Ti2SeS after structural relaxation.

Cell lengths 3.479, 3.479, 6.566 Å; angles 74.63, 74.63, 60.00 degrees
Element x y z (fractional)
Ti1 0.074 0.074 0.778
Ti2 0.261 0.261 0.218
Se1 0.499 0.499 0.504
S1 0.667 0.667 0.000

Calculated values
* total magnetic moment: 0.0 μB/f.u.
* E above lowest polymorph: 0.000 eV/atom
* V: 16.38 A^3/atom
* formation energy without anion corrections: -1.140 eV per atom
* final energy: -27.962 eV for the cell shown

---

# 4
## PmYMnCd (PBE)

Data for PmYMnCd after structural relaxation.

Cell lengths 5.239, 5.239, 5.239 Å; angles 60.00, 60.00, 60.00 degrees
Element x y z (fractional)
Y1 0.250 0.250 0.250
Cd1 0.000 0.000 0.000
Mn1 0.500 0.500 0.500
Pm1 0.750 0.750 0.750

Calculated values
* total magnetic moment: 3.2 μB/f.u.
* V: 25.42 A^3/atom
* final energy: -21.335 eV for the cell shown
* DFT formation energy: -0.01 eV per atom

---

# 5
## LaEuRu (PBE)

Data for LaEuRu after structural relaxation.

Cell lengths 4.938, 4.938, 4.938 Å; angles 60.00, 60.00, 60.00 degrees
Element x y z (fractional)
Eu1 0.000 0.000 0.000
Ru1 0.250 0.250 0.250
La1 0.500 0.500 0.500

Calculated values
* total magnetic moment: 7.1 μB/f.u.
* E above lowest polymorph: 0.042 eV/atom
* V: 28.39 A^3/atom
* final energy: -24.552 eV for the cell shown
* DFT formation energy: -0.02 eV per atom

---

# 6
## Tl2CoH (PBE)

Data for Tl2CoH after structural relaxation.

Cell lengths 6.484, 6.484, 5.681 Å; angles 55.20, 55.20, 90.00 degrees
Element x y z (fractional)
H1 0.500 0.500 0.000
H2 0.250 0.750 0.500
Tl1 0.578 0.125 0.250
Tl2 0.172 0.625 0.250
Tl3 0.375 0.422 0.750
Tl4 0.875 0.828 0.750
Co1 0.000 0.000 0.000
Co2 0.750 0.250 0.500

Calculated values
* total magnetic moment: 1.0 μB/f.u.
* E above lowest polymorph: 0.000 eV/atom
* V: 17.63 A^3/atom
* final energy: -24.809 eV for the cell shown

---

# 7
## SiAg2P (PBE)

Data for SiAg2P after structural relaxation.

Cell lengths 5.314, 5.314, 3.933 Å; angles 68.07, 68.07, 116.29 degrees
Element x y z (fractional)
Ag1 0.000 0.000 0.000
Ag2 0.500 0.500 0.000
P1 0.500 0.000 0.500
Si1 0.000 0.500 0.500

Calculated values
* total magnetic moment: 0.0 μB/f.u.
* E above lowest polymorph: 0.185 eV/atom
* V: 17.59 A^3/atom
* formation energy without anion corrections: 0.347 eV per atom
* final energy: -15.147 eV for the cell shown

---

# 8
## NaTlO2 (PBE)

Data for NaTlO2 after structural relaxation.

Cell lengths 5.319, 5.319, 6.267 Å; angles 64.89, 64.89, 90.00 degrees
Element x y z (fractional)
Na1 0.500 0.500 0.000
Na2 0.250 0.750 0.500
Tl1 0.000 0.000 0.000
Tl2 0.750 0.250 0.500
O1 0.648 0.125 0.250
O2 0.102 0.625 0.250
O3 0.375 0.352 0.750
O4 0.875 0.898 0.750

Calculated values
* total magnetic moment: 0.0 μB/f.u.
* V: 17.73 A^3/atom
* formation energy without anion corrections: -1.004 eV per atom
* final energy: -35.235 eV for the cell shown

---

# 9
## Tb3DyErTm (PBE)

Data for Tb3DyErTm after structural relaxation.

Cell lengths 5.649, 11.056, 6.927 Å; angles 90.00, 89.99, 120.70 degrees
Element x y z (fractional)
Tb1 0.801 0.582 0.250
Tb2 0.863 0.582 0.749
Tb3 0.198 0.918 0.251
Tb4 0.137 0.418 0.251
Tb5 0.802 0.082 0.749
Tb6 0.199 0.418 0.750
Dy1 0.862 0.082 0.250
Dy2 0.138 0.918 0.750
Er1 0.500 0.751 0.000
Er2 0.500 0.249 0.000
Tm1 0.499 0.249 0.500
Tm2 0.501 0.751 0.500

Calculated values
* total magnetic moment: 0.0 μB/f.u.
* V: 31.00 A^3/atom
* final energy: -54.300 eV for the cell shown
* DFT formation energy: 0.06 eV per atom

---

# 10
## LaInBr2 (PBE)

Data for LaInBr2 after structural relaxation.

Cell lengths 3.646, 3.643, 10.339 Å; angles 90.00, 90.00, 90.00 degrees
Element x y z (fractional)
In1 0.500 0.500 0.250
Br1 0.000 0.000 0.923
Br2 0.000 0.000 0.577
La1 0.500 0.500 0.750

Calculated values
* total magnetic moment: 0.0 μB/f.u.
* E above lowest polymorph: 0.004 eV/atom
* V: 34.34 A^3/atom
* formation energy without anion corrections: -1.117 eV per atom
* final energy: -15.478 eV for the cell shown

---

# 11
## SiOsSe2 (PBE)

Data for SiOsSe2 after structural relaxation.

Cell lengths 4.405, 4.405, 6.303 Å; angles 71.64, 71.64, 49.64 degrees
Element x y z (fractional)
Os1 0.295 0.295 0.375
Se1 0.891 0.891 0.079
Se2 0.718 0.718 0.674
Si1 0.595 0.595 0.372

Calculated values
* total magnetic moment: 0.0 μB/f.u.
* V: 21.85 A^3/atom
* formation energy without anion corrections: -0.006 eV per atom
* final energy: -23.647 eV for the cell shown

---

# 12
## CaBiF6 (PBE)

Data for CaBiF6 after structural relaxation.

Cell lengths 6.193, 6.193, 6.193 Å; angles 56.03, 56.03, 56.03 degrees
Element x y z (fractional)
Ca1 0.500 0.500 0.500
Bi1 0.000 0.000 0.000
F1 0.645 0.869 0.243
F2 0.869 0.243 0.645
F3 0.757 0.355 0.131
F4 0.131 0.757 0.355
F5 0.355 0.131 0.757
F6 0.243 0.645 0.869

Calculated values
* total magnetic moment: 1.0 μB/f.u.
* E above lowest polymorph: 0.000 eV/atom
* V: 19.06 A^3/atom
* formation energy without anion corrections: -2.762 eV per atom
* final energy: -39.207 eV for the cell shown

---

# 13
## MnGe (PBE)

Data for MnGe after structural relaxation.

Cell lengths 5.064, 5.064, 5.064 Å; angles 90.00, 90.00, 90.00 degrees
Element x y z (fractional)
Mn1 0.000 0.000 0.000
Mn2 0.000 0.500 0.500
Mn3 0.500 0.000 0.500
Mn4 0.500 0.500 0.000
Ge1 0.500 0.500 0.500
Ge2 0.500 0.000 0.000
Ge3 0.000 0.500 0.000
Ge4 0.000 0.000 0.500

Calculated values
* total magnetic moment: 3.0 μB/f.u.
* V: 16.23 A^3/atom
* final energy: -53.881 eV for the cell shown
* DFT formation energy: 0.16 eV per atom